VASP calculation (PBE-GGA) on crystalline NaCd2Au at its relaxed geometry.

Results
ΔE to the lowest computed polymorph: 0.003 eV/atom

Cell: 16.537 8.073 5.678 Å, 90.00 90.00 90.00°
Space group Pnma (No. 62)
Asymmetric unit:
Na 0.107 0.250 0.235 (multiplicity 4)
Na 0.142 0.750 0.455 (multiplicity 4)
Cd 0.034 0.056 0.730 (multiplicity 8)
Cd 0.214 0.555 0.947 (multiplicity 8)
Au 0.068 0.750 0.962 (multiplicity 4)
Au 0.181 0.250 0.729 (multiplicity 4)


VASP calculation (PBE-GGA) on crystalline Na3Cd5Au2 at its relaxed geometry.

Cell: 12.376 13.342 6.189 Å, 90.00 90.00 90.00°
Space group Ibam (No. 72)
Asymmetric unit:
Na 0.000 0.000 0.250 (multiplicity 4)
Na 0.126 0.235 0.000 (multiplicity 8)
Cd 0.000 0.500 0.250 (multiplicity 4)
Cd 0.115 0.346 0.500 (multiplicity 8)
Cd 0.246 0.500 0.250 (multiplicity 8)
Au 0.146 0.146 0.500 (multiplicity 8)


Sequential E output: -1.854 -1.661 eV/atom
Sequential ΔE_f output: -0.247 -0.152 eV/atom